Below is a relaxed structure of SmY3Ho2As6, with properties calculated at the PBE level.

abc: 7.1571 12.3944 7.1552
angles: 90.00 109.46 90.00
Space group C2/m (No. 12)
Unique sites:
Sm 0.0000 0.0000 0.0000
Y 0.0000 0.1657 0.5000
Y 0.0000 0.5000 0.5000
Ho 0.0000 0.3331 0.0000
As 0.2462 0.5000 0.2501
As 0.2478 0.3314 0.7493

ρ: 6.64 g/cm³
calculated total energy: -6.637 eV per atom
DOS(E_F): 1.85 states/eV/f.u.
total moment: 0.0000 μB per atom